(1)
Here is an optimized crystal structure of TlHg2Bi2 from Alexandria via LeMat-Bulk. Energies are from PBE-GGA.

Space-group type: P-1, No. 2
M_tot (μB per formula unit): 0.000
Final energy (eV per atom): -2.1209

Cell and atoms, written as POSCAR:
```
TlHg2Bi2
1.0
3.337 0.088 -0.333
-0.338 5.560 -1.513
0.557 -0.317 8.390
Bi Hg Tl
2 2 1
direct
0.480 0.403 0.801
0.520 0.597 0.199
0.511 0.190 0.393
0.490 0.810 0.607
0.000 0.000 0.000
```



(2)
Here is an optimized crystal structure of Na2AcTl3 from Alexandria via LeMat-Bulk. Energies are from PBE-GGA.

Space-group type: P-3m1, No. 164
M_tot (μB per formula unit): 0.000
Final energy (eV per atom): -2.5163

Cell and atoms, written as POSCAR:
```
Na2AcTl3
1.0
5.564 0.000 0.000
-2.782 4.819 0.000
0.000 0.000 13.794
Tl Ac Na
6 2 4
direct
0.000 0.000 0.238
0.667 0.333 0.079
0.000 0.000 0.762
0.667 0.333 0.583
0.333 0.667 0.921
0.333 0.667 0.417
0.667 0.333 0.335
0.333 0.667 0.665
0.667 0.333 0.838
0.000 0.000 0.000
0.000 0.000 0.500
0.333 0.667 0.162
```



(3)
Here is an optimized crystal structure of BaScSe2N from Alexandria via LeMat-Bulk. Energies are from PBE-GGA.

Formation energy (no corrections) (eV/atom): 0.146
Space-group type: P4/mmm, No. 123
M_tot (μB per formula unit): 1.372
Final energy (eV per atom): -4.5636

Cell and atoms, written as POSCAR:
```
BaScSe2N
1.0
4.886 0.000 0.000
0.000 8.711 0.000
0.000 0.000 4.886
Se Sc Ba N
2 1 1 1
direct
0.500 0.000 0.000
0.000 0.000 0.500
0.000 0.000 0.000
0.000 0.500 0.000
0.500 0.500 0.500
```



(4)
Here is an optimized crystal structure of Li2HfGaH from Alexandria via LeMat-Bulk. Energies are from PBE-GGA.

Space-group type: P4/mmm, No. 123
M_tot (μB per formula unit): 0.000
Final energy (eV per atom): -4.3045

Cell and atoms, written as POSCAR:
```
Li2HfGaH
1.0
-3.773 0.214 1.041
0.235 -3.578 1.584
1.185 1.814 3.922
Li Hf H Ga
2 1 1 1
direct
0.000 0.500 0.000
0.500 0.000 0.000
0.000 0.000 0.500
0.000 0.000 0.000
0.500 0.500 0.500
```



(5)
Here is an optimized crystal structure of Ac2PuP3Pt4 from Alexandria via LeMat-Bulk. Energies are from PBE-GGA.

Space-group type: P-4m2, No. 115
M_tot (μB per formula unit): 5.588
Final energy (eV per atom): -7.2038

Cell and atoms, written as POSCAR:
```
Ac2PuP3Pt4
1.0
-0.633 3.828 1.820
-3.236 0.752 -2.708
-7.267 -4.709 7.378
P Ac Pt Pu
3 2 4 1
direct
0.000 0.500 0.115
0.500 0.000 0.885
0.000 0.000 0.500
0.000 0.500 0.774
0.500 0.000 0.226
0.000 0.000 0.000
0.500 0.500 0.000
0.500 0.000 0.674
0.000 0.500 0.326
0.500 0.500 0.500
```



(6)
Here is an optimized crystal structure of RhWBr2 from Alexandria via LeMat-Bulk. Energies are from PBE-GGA.

Formation energy (no corrections) (eV/atom): 1.019
Space-group type: Pmmm, No. 47
M_tot (μB per formula unit): 1.012
Final energy (eV per atom): -4.8935

Cell and atoms, written as POSCAR:
```
RhWBr2
1.0
-0.937 2.749 0.644
-5.006 -2.043 1.438
1.412 -0.503 4.200
Rh Br W
1 2 1
direct
0.500 0.000 0.500
0.500 0.500 0.000
0.000 0.000 0.000
0.000 0.500 0.500
```



(7)
Here is an optimized crystal structure of ThHgGe from Alexandria via LeMat-Bulk. Energies are from PBE-GGA.

Space-group type: P3m1, No. 156
M_tot (μB per formula unit): 0.000
Final energy (eV per atom): -4.5141

Cell and atoms, written as POSCAR:
```
ThHgGe
1.0
-1.383 -1.968 -3.732
-3.347 -1.886 2.235
-0.557 3.982 -1.894
Th Hg Ge
1 1 1
direct
0.656 0.667 0.333
0.065 0.000 0.000
0.280 0.333 0.667
```



(8)
Here is an optimized crystal structure of Tb3Sm2In3 from Alexandria via LeMat-Bulk. Energies are from PBE-GGA.

Space-group type: Immm, No. 71
M_tot (μB per formula unit): 0.000
Final energy (eV per atom): -4.3007

Cell and atoms, written as POSCAR:
```
Tb3Sm2In3
1.0
-3.400 -1.697 0.093
0.838 -1.399 5.109
-3.447 11.205 0.818
Tb Sm In
3 2 3
direct
0.622 0.622 0.245
0.378 0.378 0.755
0.500 0.000 0.000
0.734 0.234 0.468
0.266 0.766 0.532
0.883 0.883 0.766
0.117 0.117 0.234
0.000 0.500 0.000
```



(9)
Here is an optimized crystal structure of SrIn2Pd from Alexandria via LeMat-Bulk. Energies are from PBE-GGA.

Space-group type: P4/mmm, No. 123
M_tot (μB per formula unit): 0.000
Final energy (eV per atom): -3.5399

Cell and atoms, written as POSCAR:
```
SrIn2Pd
1.0
-2.618 0.935 2.129
-2.274 -1.697 -2.051
1.101 -6.631 4.265
Pd In Sr
1 2 1
direct
0.500 0.500 0.000
0.000 0.000 0.808
0.000 0.000 0.192
0.500 0.500 0.500
```



(10)
Here is an optimized crystal structure of Er8Mg2Tc from Alexandria via LeMat-Bulk. Energies are from PBE-GGA.

Space-group type: C2/m, No. 12
M_tot (μB per formula unit): 0.000
Final energy (eV per atom): -4.5664

Cell and atoms, written as POSCAR:
```
Er8Mg2Tc
1.0
-1.512 -3.609 3.815
5.444 -4.037 -1.661
2.835 7.465 4.271
Er Tc Mg
8 1 2
direct
0.358 0.084 0.717
0.810 0.763 0.620
0.642 0.916 0.283
0.013 0.777 0.027
0.394 0.600 0.788
0.190 0.237 0.380
0.987 0.223 0.973
0.606 0.400 0.212
0.500 0.000 0.000
0.187 0.690 0.374
0.813 0.310 0.626
```



(11)
Here is an optimized crystal structure of Rb2Cd2PbO4 from Alexandria via LeMat-Bulk. Energies are from PBE-GGA.

Formation energy (no corrections) (eV/atom): -1.000
Space-group type: C2/m, No. 12
M_tot (μB per formula unit): 0.000
Final energy (eV per atom): -4.0344

Cell and atoms, written as POSCAR:
```
Rb2Cd2PbO4
1.0
3.761 0.000 0.000
-1.880 7.587 0.603
0.000 -2.089 6.411
O Rb Pb Cd
4 2 1 2
direct
0.215 0.430 0.184
0.541 0.081 0.785
0.785 0.570 0.816
0.459 0.919 0.215
0.126 0.252 0.537
0.874 0.748 0.463
0.000 0.000 0.000
0.328 0.656 0.993
0.672 0.344 0.007
```



(12)
Here is an optimized crystal structure of NaAcSn from Alexandria via LeMat-Bulk. Energies are from PBE-GGA.

Space-group type: P-6m2, No. 187
M_tot (μB per formula unit): 0.000
Final energy (eV per atom): -3.4905

Cell and atoms, written as POSCAR:
```
NaAcSn
1.0
3.840 0.000 0.000
0.000 5.393 0.000
0.000 -2.697 4.671
Sn Ac Na
1 1 1
direct
0.834 0.000 0.000
0.333 0.333 0.667
0.833 0.667 0.333
```